[1]
This record from Alexandria describes a relaxed Pr2Sm3Y2 crystal. The functional is GGA-PBE.

Structure (POSCAR):
```
Pr2Sm3Y2
1.0
3.545 0.000 0.000
0.000 8.779 -0.743
-1.773 -3.656 8.068
Y Pr Sm
2 2 3
Direct
0.435 0.095 0.871
0.565 0.905 0.129
0.854 0.675 0.708
0.146 0.325 0.292
0.213 0.806 0.426
0.787 0.194 0.574
0.000 0.500 0.000
```

Computed properties:
Calculated formation energy = 0.100 eV/atom
Volume = 241 Å³/f.u.
Total magnetization = 0.00 μB per atom

=====

[2]
This record from Alexandria describes a relaxed Tm6AgSe3S2 crystal. The functional is GGA-PBE.

Structure (POSCAR):
```
Tm6AgSe3S2
1.0
6.902 -0.004 -0.004
-3.453 5.976 -0.004
-1.154 -1.997 6.525
Tm Se S Ag
6 3 2 1
Direct
0.578 0.922 0.762
0.736 0.736 0.237
0.078 0.422 0.238
0.264 0.264 0.763
0.422 0.078 0.238
0.922 0.578 0.762
0.834 0.166 0.500
0.166 0.834 0.500
0.500 0.500 0.500
0.666 0.334 0.000
0.334 0.666 0.000
0.000 0.000 0.000
```

Computed properties:
Volume = 269 Å³/f.u.
Formation energy (no corrections) = -1511 meV/atom
Total magnetization = 0.00 μB per atom

=====

[3]
This record from Alexandria describes a relaxed Np2Ga2Ru3 crystal. The functional is GGA-PBE.

Structure (POSCAR):
```
Np2Ga2Ru3
1.0
-1.363 -2.077 3.613
6.637 0.763 0.281
-0.801 4.353 2.195
Ru Ga Np
3 2 2
Direct
0.213 0.426 0.831
0.000 0.000 0.000
0.787 0.574 0.169
0.599 0.198 0.885
0.401 0.802 0.115
0.854 0.708 0.623
0.146 0.292 0.377
```

Computed properties:
Calculated formation energy = -0.165 eV/atom
Volume = 137 Å³/f.u.
Total magnetization = 0.75 μB per atom

=====

[4]
This record from Alexandria describes a relaxed CeNiPbAu crystal. The functional is GGA-PBE.

Structure (POSCAR):
```
CeNiPbAu
1.0
4.950 0.000 0.000
2.475 4.287 0.000
2.475 1.429 4.042
Pb Ni Ce Au
1 1 1 1
Direct
0.500 0.500 0.500
0.250 0.250 0.250
0.000 0.000 0.000
0.750 0.750 0.750
```

Computed properties:
Calculated formation energy = -0.317 eV/atom
Volume = 86 Å³/f.u.
Total magnetization = 0.12 μB per atom

=====

[5]
This record from Alexandria describes a relaxed BaTl2SbO6 crystal. The functional is GGA-PBE.

Structure (POSCAR):
```
BaTl2SbO6
1.0
-1.696 3.266 4.600
0.256 -2.227 5.450
4.728 2.280 3.892
O Tl Ba Sb
6 2 1 1
Direct
0.981 0.570 0.219
0.359 0.690 0.795
0.690 0.156 0.794
0.156 0.359 0.795
0.570 0.230 0.219
0.230 0.981 0.219
0.011 0.011 0.968
0.540 0.539 0.381
0.799 0.800 0.601
0.326 0.326 0.023
```

Computed properties:
Volume = 168 Å³/f.u.
Formation energy (no corrections) = -1357 meV/atom
Total magnetization = 0.00 μB per atom

=====

Which formula does entry 5 have? BaTl2SbO6

=====

What did the fourth record say?
This record from Alexandria describes a relaxed CeNiPbAu crystal. The functional is GGA-PBE.

Structure (POSCAR):
```
CeNiPbAu
1.0
4.950 0.000 0.000
2.475 4.287 0.000
2.475 1.429 4.042
Pb Ni Ce Au
1 1 1 1
Direct
0.500 0.500 0.500
0.250 0.250 0.250
0.000 0.000 0.000
0.750 0.750 0.750
```

Computed properties:
Calculated formation energy = -0.317 eV/atom
Volume = 86 Å³/f.u.
Total magnetization = 0.12 μB per atom

=====

What is the formula in the second record? Tm6AgSe3S2